[1]
# Cs2KNaTe | Alexandria | PBE | optimized geometry
# * E: -1.972 eV per atom
# * excess energy over the best structure of this formula in the dataset: 0.000 eV/atom
# * E_form (uncorrected): -518 meV per atom
# * magnetic moment: 0.00 Bohr magnetons per cell
# * volume: 74.985 A^3/atom
data_Cs2KNaTe
_cell_length_a 7.471
_cell_length_b 7.471
_cell_length_c 6.717
_cell_angle_alpha 90.00
_cell_angle_beta 90.00
_cell_angle_gamma 90.00
_space_group_name_H-M_alt 'P 1'
_space_group_IT_number 1
loop_
_space_group_symop_operation_xyz
'x,y,z'
loop_
_atom_site_label
_atom_site_type_symbol
_atom_site_fract_x
_atom_site_fract_y
_atom_site_fract_z
Cs1 Cs 0.000 0.500 0.000
Cs2 Cs 0.500 0.000 0.000
Na1 Na 0.500 0.500 0.500
K1 K 0.000 0.000 0.500
Te1 Te 0.000 0.000 0.000

[2]
# CsKNa2Te | Alexandria | PBE | optimized geometry
# * E: -1.515 eV per atom
# * excess energy over the best structure of this formula in the dataset: 0.438 eV/atom
# * E_form (uncorrected): 31 meV per atom
# * magnetic moment: 0.00 Bohr magnetons per cell
# * volume: 58.876 A^3/atom
data_CsKNa2Te
_cell_length_a 6.513
_cell_length_b 6.940
_cell_length_c 6.513
_cell_angle_alpha 90.00
_cell_angle_beta 90.00
_cell_angle_gamma 90.00
_space_group_name_H-M_alt 'P 1'
_space_group_IT_number 1
loop_
_space_group_symop_operation_xyz
'x,y,z'
loop_
_atom_site_label
_atom_site_type_symbol
_atom_site_fract_x
_atom_site_fract_y
_atom_site_fract_z
Cs1 Cs 0.000 0.000 0.000
Na1 Na 0.000 0.000 0.500
Na2 Na 0.500 0.000 0.000
K1 K 0.500 0.500 0.500
Te1 Te 0.000 0.500 0.000